(1)
# Mg2AgW PBE relaxed
# DOS at the Fermi energy = 2.5 states/eV/f.u.
# E above lowest polymorph = 0.175 eV per atom
# Theoretical density = 7.91 Mg/m³
data_Mg2AgW
_chemical_formula_sum 'Mg4 Ag2 W2'
_space_group_name_H-M_alt 'C 1 2/m 1'
_space_group_IT_number 12
_cell_length_a 5.994
_cell_length_b 8.700
_cell_length_c 2.741
_cell_angle_alpha 90.00
_cell_angle_beta 90.43
_cell_angle_gamma 90.00
loop_
_space_group_symop_operation_xyz
'x,y,z'
'-x,-y,-z'
'-x,y,-z'
'x,-y,z'
'x+1/2,y+1/2,z'
'-x+1/2,-y+1/2,-z'
'-x+1/2,y+1/2,-z'
'x+1/2,-y+1/2,z'
loop_
_atom_site_label
_atom_site_fract_x
_atom_site_fract_y
_atom_site_fract_z
Mg1 0.250 0.250 0.000
Ag1 0.000 0.000 0.500
W1 0.000 0.500 0.500



(2)
# Mg2AgW PBE relaxed
# DOS at the Fermi energy = 3.8 states/eV/f.u.
# E above lowest polymorph = 0.451 eV per atom
# Theoretical density = 7.92 Mg/m³
data_Mg2AgW
_chemical_formula_sum 'Mg4 Ag2 W2'
_space_group_name_H-M_alt 'I -4 m 2'
_space_group_IT_number 119
_space_group_name_Hall 'I -4 -2'
_cell_length_a 4.086
_cell_length_b 4.086
_cell_length_c 8.549
_cell_angle_alpha 90.00
_cell_angle_beta 90.00
_cell_angle_gamma 90.00
loop_
_atom_site_label
_atom_site_fract_x
_atom_site_fract_y
_atom_site_fract_z
Mg1 0.000 0.000 0.000
Mg2 0.000 0.500 0.250
Ag1 0.000 0.000 0.500
W1 0.000 0.500 0.750



(3)
# Mg2AgW PBE relaxed
# DOS at the Fermi energy = 3.2 states/eV/f.u.
# E above lowest polymorph = 0.357 eV per atom
# Theoretical density = 7.90 Mg/m³
data_Mg2AgW
_chemical_formula_sum 'Mg2 Ag1 W1'
_space_group_name_H-M_alt 'P m m m'
_space_group_IT_number 47
_cell_length_a 2.966
_cell_length_b 4.786
_cell_length_c 5.038
_cell_angle_alpha 90.00
_cell_angle_beta 90.00
_cell_angle_gamma 90.00
loop_
_space_group_symop_operation_xyz
'x,y,z'
'-x,-y,-z'
'-x,-y,z'
'x,y,-z'
'x,-y,-z'
'-x,y,z'
'-x,y,-z'
'x,-y,z'
loop_
_atom_site_label
_atom_site_fract_x
_atom_site_fract_y
_atom_site_fract_z
Mg1 0.000 0.000 0.000
Mg2 0.500 0.000 0.500
Ag1 0.000 0.500 0.500
W1 0.500 0.500 0.000



(4)
# Y3Mg4Ag4 PBE relaxed
# DOS at the Fermi energy = 8.3 states/eV/f.u.
# Theoretical density = 5.13 Mg/m³
# Final energy = -3.608 eV per atom
data_Y3Mg4Ag4
_chemical_formula_sum 'Y6 Mg8 Ag8'
_space_group_name_H-M_alt 'I m m m'
_space_group_IT_number 71
_space_group_name_Hall '-I 2 2'
_cell_length_a 4.017
_cell_length_b 8.183
_cell_length_c 15.659
_cell_angle_alpha 90.00
_cell_angle_beta 90.00
_cell_angle_gamma 90.00
loop_
_atom_site_label
_atom_site_fract_x
_atom_site_fract_y
_atom_site_fract_z
Y1 0.000 0.000 0.000
Y2 0.000 0.500 0.114
Mg1 0.000 0.309 0.330
Ag1 0.000 0.000 0.237
Ag2 0.000 0.196 0.500



(5)
# Y3MgAg PBE relaxed
# DOS at the Fermi energy = 6.4 states/eV/f.u.
# E above lowest polymorph = 0.000 eV per atom
# Theoretical density = 4.87 Mg/m³
data_Y3MgAg
_chemical_formula_sum 'Y12 Mg4 Ag4'
_space_group_name_H-M_alt 'C m c m'
_space_group_IT_number 63
_space_group_name_Hall '-C 2c 2'
_cell_length_a 5.203
_cell_length_b 20.135
_cell_length_c 5.194
_cell_angle_alpha 90.00
_cell_angle_beta 90.00
_cell_angle_gamma 90.00
loop_
_atom_site_label
_atom_site_fract_x
_atom_site_fract_y
_atom_site_fract_z
Y1 0.000 0.059 0.250
Y2 0.000 0.249 0.250
Y3 0.000 0.436 0.250
Mg1 0.000 0.154 0.750
Ag1 0.000 0.338 0.750



(6)
# Y2MgAg2 PBE relaxed
# DOS at the Fermi energy = 2.3 states/eV/f.u.
# E above lowest polymorph = 0.288 eV per atom
# Theoretical density = 5.34 Mg/m³
data_Y2MgAg2
_chemical_formula_sum 'Y4 Mg2 Ag4'
_space_group_name_H-M_alt 'I 4/m m m'
_space_group_IT_number 139
_space_group_name_Hall '-I 4 2'
_cell_length_a 3.871
_cell_length_b 3.871
_cell_length_c 17.354
_cell_angle_alpha 90.00
_cell_angle_beta 90.00
_cell_angle_gamma 90.00
loop_
_atom_site_label
_atom_site_fract_x
_atom_site_fract_y
_atom_site_fract_z
Y1 0.000 0.000 0.108
Mg1 0.000 0.000 0.500
Ag1 0.000 0.500 0.250



(7)
# Y2MgAg PBE relaxed
# DOS at the Fermi energy = 3.9 states/eV/f.u.
# Theoretical density = 4.74 Mg/m³
# Final energy = -4.353 eV per atom
data_Y2MgAg
_chemical_formula_sum 'Y6 Mg3 Ag3'
_space_group_name_H-M_alt 'R -3 m'
_space_group_IT_number 166
_space_group_name_Hall '-R 3 2"'
_cell_length_a 3.5327
_cell_length_b 3.5327
_cell_length_c 30.1503
_cell_angle_alpha 90.00
_cell_angle_beta 90.00
_cell_angle_gamma 120.00
loop_
_atom_site_label
_atom_site_fract_x
_atom_site_fract_y
_atom_site_fract_z
Y1 0.0000 0.0000 0.2459
Mg1 0.0000 0.0000 0.0000
Ag1 0.0000 0.0000 0.5000



(8)
# Y3Mg9Ag2 PBE relaxed
# DOS at the Fermi energy = 13.0 states/eV/f.u.
# Theoretical density = 3.46 Mg/m³
# Final energy = -2.919 eV per atom
data_Y3Mg9Ag2
_chemical_formula_sum 'Y6 Mg18 Ag4'
_space_group_name_H-M_alt 'I m m m'
_space_group_IT_number 71
_space_group_name_Hall '-I 2 2'
_cell_length_a 4.902
_cell_length_b 11.052
_cell_length_c 12.424
_cell_angle_alpha 90.00
_cell_angle_beta 90.00
_cell_angle_gamma 90.00
loop_
_atom_site_label
_atom_site_fract_x
_atom_site_fract_y
_atom_site_fract_z
Y1 0.000 0.000 0.000
Y2 0.000 0.000 0.289
Mg1 0.000 0.276 0.137
Mg2 0.000 0.368 0.367
Mg3 0.000 0.500 0.000
Ag1 0.000 0.155 0.500



Looking at calculated volume for the records above, in order, we have 17.87 17.85 17.88 23.40 27.20 26.01 27.15 24.04 Å³/atom.